Mn2NiPdAu, relaxed, DFT PBE-GGA; formation energy from the elements = 1271 meV/atom; V = 23.47 Å³ per atom; VASP energy = -26.2 eV for the cell shown
1.0
-2.4720 -2.9165 2.9770
4.1293 -2.1817 1.2915
0.5808 3.2965 3.7117
Pd Au Mn Ni
1 1 2 1
Cartesian
0.2904 1.6482 1.8559
0.0000 0.0000 0.0000
2.0647 -1.0909 0.6458
-1.2360 -1.4582 1.4885
1.1190 -0.9009 3.9901